(1)
Entry from Alexandria via LeMat-Bulk: crystalline AuC2S at its relaxed geometry (GGA-PBEsol).

Cell: 4.764 4.764 7.936 Å, 90.00 90.00 90.00°
Space group I-42d (No. 122)
One atom of each set of equivalent atoms:
Au (0.000, 0.000, 0.000)
C (0.174, 0.750, 0.625)
S (0.000, 0.000, 0.500)

Calculated values
- ΔE_f (raw): 1.436 eV/atom
- Crystal system: tetragonal

(2)
Entry from Alexandria via LeMat-Bulk: crystalline CaMg4Cu2 at its relaxed geometry (GGA-PBEsol).

Cell: 4.6754 4.6754 22.1973 Å, 90.00 90.00 120.00°
Space group R-3m (No. 166, hexagonal axes)
One atom of each set of equivalent atoms:
Ca (0.0000, 0.0000, 0.0000)
Mg (0.0000, 0.0000, 0.1409)
Mg (0.0000, 0.0000, 0.4150)
Cu (0.0000, 0.0000, 0.2585)

Calculated values
- Crystal system: trigonal
- Energy of formation from the pure elements: -0.017 eV per atom

(3)
Entry from Alexandria via LeMat-Bulk: crystalline Ta2TiCuPt at its relaxed geometry (GGA-PBEsol).

Cell: 4.539 4.539 4.373 Å, 90.00 90.00 90.00°
Space group P4/mmm (No. 123)
One atom of each set of equivalent atoms:
Ta (0.000, 0.500, 0.000)
Ti (0.000, 0.000, 0.000)
Cu (0.000, 0.000, 0.500)
Pt (0.500, 0.500, 0.500)

Calculated values
- Crystal system: tetragonal
- Energy of formation from the pure elements: 1.347 eV per atom

(4)
Entry from Alexandria via LeMat-Bulk: crystalline MgNbH3 at its relaxed geometry (GGA-PBEsol).

Cell: 3.511 3.511 3.511 Å, 90.00 90.00 90.00°
Space group Pm-3m (No. 221)
One atom of each set of equivalent atoms:
Mg (0.000, 0.000, 0.000)
Nb (0.500, 0.500, 0.500)
H (0.000, 0.000, 0.500)

Calculated values
- Crystal system: cubic
- Total DFT energy (no corrections): -4.02 eV/atom

(5)
Entry from Alexandria via LeMat-Bulk: crystalline CoTc2Au at its relaxed geometry (GGA-PBEsol).

Cell: 2.684 3.762 5.462 Å, 90.00 90.09 90.00°
Space group Pm (No. 6)
One atom of each set of equivalent atoms:
Co (0.000, 0.000, 0.000)
Tc (0.504, 0.500, 0.226)
Tc (0.998, 0.000, 0.451)
Au (0.500, 0.500, 0.739)

Calculated values
- Crystal system: monoclinic
- Energy of formation from the pure elements: 0.209 eV per atom

(6)
Entry from Alexandria via LeMat-Bulk: crystalline Sc2TcOs at its relaxed geometry (GGA-PBEsol).

Cell: 3.126 4.447 9.492 Å, 90.00 90.00 90.00°
Space group Imm2 (No. 44)
One atom of each set of equivalent atoms:
Sc (0.000, 0.000, 0.000)
Sc (0.000, 0.500, 0.227)
Tc (0.000, 0.500, 0.753)
Os (0.000, 0.000, 0.475)

Calculated values
- Crystal system: orthorhombic
- Energy of formation from the pure elements: -0.276 eV per atom

(7)
Entry from Alexandria via LeMat-Bulk: crystalline LiFe2F6 at its relaxed geometry (GGA-PBEsol).

Cell: 4.674 4.674 9.051 Å, 90.00 90.00 90.00°
Space group P4_2/mnm (No. 136)
One atom of each set of equivalent atoms:
Li (0.000, 0.000, 0.000)
Fe (0.000, 0.000, 0.338)
F (0.202, 0.202, 0.170)
F (0.205, 0.205, 0.500)

Calculated values
- ΔE_f (raw): -2.279 eV/atom
- Crystal system: tetragonal

(8)
Entry from Alexandria via LeMat-Bulk: crystalline ScTl2Cd at its relaxed geometry (GGA-PBEsol).

Cell: 4.348 4.348 9.656 Å, 90.00 90.00 90.00°
Space group I-4m2 (No. 119)
One atom of each set of equivalent atoms:
Sc (0.000, 0.000, 0.000)
Tl (0.000, 0.000, 0.500)
Tl (0.000, 0.500, 0.250)
Cd (0.000, 0.500, 0.750)

Calculated values
- Distance to the lowest polymorph of the same formula: 64.7 meV per atom
- Crystal system: tetragonal
- Energy of formation from the pure elements: -0.148 eV per atom

(9)
Entry from Alexandria via LeMat-Bulk: crystalline TlCuBr at its relaxed geometry (GGA-PBEsol).

Cell: 3.366 3.366 11.698 Å, 90.00 90.00 90.00°
Space group I4mm (No. 107)
One atom of each set of equivalent atoms:
Tl (0.000, 0.000, 0.000)
Cu (0.000, 0.000, 0.348)
Br (0.000, 0.000, 0.735)

Calculated values
- Distance to the lowest polymorph of the same formula: 154.2 meV per atom
- ΔE_f (raw): 0.051 eV/atom
- Crystal system: tetragonal

(10)
Entry from Alexandria via LeMat-Bulk: crystalline Nb6AlSi at its relaxed geometry (GGA-PBEsol).

Cell: 5.118 5.118 5.118 Å, 90.00 90.00 90.00°
Space group Pm-3 (No. 200)
One atom of each set of equivalent atoms:
Nb (0.000, 0.254, 0.500)
Al (0.000, 0.000, 0.000)
Si (0.500, 0.500, 0.500)

Calculated values
- ΔE_f (raw): -0.285 eV/atom
- Crystal system: cubic

(11)
Entry from Alexandria via LeMat-Bulk: crystalline AlZnSb2I at its relaxed geometry (GGA-PBEsol).

Cell: 5.133 5.133 5.590 Å, 90.00 90.00 90.00°
Space group P4/mmm (No. 123)
One atom of each set of equivalent atoms:
Al (0.000, 0.000, 0.000)
Zn (0.500, 0.500, 0.500)
Sb (0.000, 0.500, 0.500)
I (0.500, 0.500, 0.000)

Calculated values
- ΔE_f (raw): 0.562 eV/atom
- Crystal system: tetragonal

(12)
Entry from Alexandria via LeMat-Bulk: crystalline LiCd at its relaxed geometry (GGA-PBEsol).

Cell: 3.0035 3.0035 14.2830 Å, 90.00 90.00 120.00°
Space group R-3m (No. 166, hexagonal axes)
One atom of each set of equivalent atoms:
Li (0.0000, 0.0000, 0.0000)
Cd (0.0000, 0.0000, 0.5000)

Calculated values
- Crystal system: trigonal
- Energy of formation from the pure elements: -0.167 eV per atom

(13)
Entry from Alexandria via LeMat-Bulk: crystalline Li2AgIr at its relaxed geometry (GGA-PBEsol).

Cell: 2.819 4.530 8.894 Å, 90.00 90.00 90.00°
Space group Cmmm (No. 65)
One atom of each set of equivalent atoms:
Li (0.000, 0.000, 0.234)
Ag (0.000, 0.500, 0.500)
Ir (0.000, 0.500, 0.000)

Calculated values
- Crystal system: orthorhombic
- Energy of formation from the pure elements: -0.127 eV per atom

(14)
Entry from Alexandria via LeMat-Bulk: crystalline Be2Al2Cd at its relaxed geometry (GGA-PBEsol).

Cell: 3.675 3.675 11.562 Å, 90.00 90.00 90.00°
Space group I4/mmm (No. 139)
One atom of each set of equivalent atoms:
Be (0.000, 0.500, 0.250)
Al (0.000, 0.000, 0.113)
Cd (0.000, 0.000, 0.500)

Calculated values
- Crystal system: tetragonal
- Energy of formation from the pure elements: 0.425 eV per atom